# 1
Below is crystalline Nb13In3 at its relaxed geometry, with properties calculated at the PBE-GGA level.

Cell lengths 6.8626, 6.6444, 6.6444 Å; angles 89.49, 90.00, 90.00 degrees
Fractional coordinates of all 16 atoms:
Nb1 0.0000 0.0000 0.0000
Nb2 0.0000 0.5136 0.5136
Nb3 0.0000 0.5151 0.9940
Nb4 0.0000 0.9940 0.5151
Nb5 0.2439 0.7568 0.7568
Nb6 0.2454 0.2642 0.7539
Nb7 0.2454 0.7539 0.2642
Nb8 0.5000 0.5131 0.9915
Nb9 0.5000 0.5170 0.5170
Nb10 0.5000 0.9915 0.5131
Nb11 0.7546 0.2642 0.7539
Nb12 0.7546 0.7539 0.2642
Nb13 0.7561 0.7568 0.7568
In1 0.2474 0.2618 0.2618
In2 0.5000 0.0012 0.0012
In3 0.7526 0.2618 0.2618

E: -8.680 eV/atom
crystal system: orthorhombic
E_form: 0.015 eV/atom



# 2
Below is crystalline Pr2Ni4Sb3P at its relaxed geometry, with properties calculated at the PBE-GGA level.

Cell lengths 4.4030, 4.4030, 9.8547 Å; angles 90.00, 90.00, 90.00 degrees
Fractional coordinates of all 10 atoms:
Pr1 0.0000 0.5000 0.2459
Pr2 0.5000 0.0000 0.7541
Ni1 0.0000 0.0000 0.5000
Ni2 0.0000 0.5000 0.8904
Ni3 0.5000 0.0000 0.1096
Ni4 0.5000 0.5000 0.5000
Sb1 0.0000 0.0000 0.0000
Sb2 0.0000 0.5000 0.6314
Sb3 0.5000 0.0000 0.3686
P1 0.5000 0.5000 0.0000

E: -5.733 eV/atom
crystal system: tetragonal



# 3
Below is crystalline Hf3Rh2Au3 at its relaxed geometry, with properties calculated at the PBE-GGA level.

Cell lengths 7.2533, 7.2533, 3.2320 Å; angles 90.00, 90.00, 120.00 degrees
Fractional coordinates of all 8 atoms:
Hf1 0.0000 0.4132 0.0000
Hf2 0.4132 0.0000 0.0000
Hf3 0.5868 0.5868 0.0000
Rh1 0.3333 0.6667 0.5000
Rh2 0.6667 0.3333 0.5000
Au1 0.0000 0.7701 0.5000
Au2 0.2299 0.2299 0.5000
Au3 0.7701 0.0000 0.5000

E: -7.502 eV/atom
crystal system: hexagonal
E_form: -0.703 eV/atom



# 4
Below is crystalline Zr4TlIn at its relaxed geometry, with properties calculated at the PBE-GGA level.

Cell lengths 5.6677, 5.6677, 8.1745 Å; angles 111.11, 111.11, 34.31 degrees
Fractional coordinates of all 6 atoms:
Zr1 0.1652 0.1652 0.3317
Zr2 0.1657 0.1657 0.8336
Zr3 0.8343 0.8343 0.1664
Zr4 0.8348 0.8348 0.6683
Tl1 0.5000 0.5000 0.5000
In1 0.5000 0.5000 0.0000

E: -6.712 eV/atom
crystal system: monoclinic
E_form: -0.162 eV/atom
E above lowest polymorph: 0.0 meV per atom



Calculated Fermi-level density of states (states/eV per atom), listed in the same order as above: 0.9710 0.3788 0.6957 0.8801
Calculated calculated volume (Å³/f.u.), listed in the same order as above: 303.0 191.0 147.3 137.1